K3Ce2MnO6, relaxed, DFT GGA+U; volume = 16.76 Å³ per atom; total DFT energy (no corrections) = -6.722 eV/atom
1.0
-5.3098 2.9616 -0.5482
0.4738 -5.7959 -1.8571
-0.0831 -1.0223 6.4725
K O Ce Mn
3 6 2 1
Cartesian
-4.4269 1.0507 2.4789
-2.4595 -1.9283 2.0336
-0.4921 -4.9073 1.5884
-2.8182 -4.4814 3.1790
-2.1009 0.6248 0.8883
-0.1583 -2.3166 0.4486
-4.7608 -1.5399 3.6186
-1.3845 -1.6033 4.6093
-3.5345 -2.2533 -0.5420
-1.4520 -2.8798 -1.4212
-3.3839 0.0455 -0.9840
0.0000 0.0000 0.0000